Material: HfPaZn2Cu2
Method: DFT, PBE
State: optimized geometry

Summary:
DOS(E_F): 1.1445 states/eV/atom
density: 10.81 g cm⁻³
calculated volume: 17.1 Å³/atom
DFT formation energy: -0.708 eV/f.u.

a b c (Å): 4.471 4.471 5.925
angles (deg): 90.00 90.00 120.00
Fractional positions:
Zn 0.667 0.333 0.272
Cu 0.333 0.667 0.266
Pa 0.000 0.000 0.000
Cu 0.667 0.333 0.734
Hf 0.000 0.000 0.500
Zn 0.333 0.667 0.728